# 1
The following is a PBE calculation of crystalline PmLuGe at its relaxed geometry, from Alexandria via LeMat-Bulk.

a b c (Å): 4.7281 4.7281 4.2022
angles (deg): 90.00 90.00 120.00
Space group P3m1 (No. 156)
One atom of each set of equivalent atoms:
Pm1 0.0000 0.0000 0.0000 [1 per cell]
Lu1 0.3333 0.6667 0.4859 [1 per cell]
Ge1 0.6667 0.3333 0.5736 [1 per cell]

Values from the calculation:
Energy above the lowest structure with this stoichiometry   0.0712 eV per atom
M_tot   0.00 μB per formula unit
ΔE_f   -432 meV per atom

# 2
The following is a PBE calculation of crystalline PmLu2Ge at its relaxed geometry, from Alexandria via LeMat-Bulk.

a b c (Å): 4.6577 4.6577 4.6526
angles (deg): 90.00 90.00 90.00
Space group P4/mmm (No. 123)
One atom of each set of equivalent atoms:
Pm1 0.0000 0.0000 0.0000 [1 per cell]
Lu1 0.0000 0.5000 0.5000 [2 per cell]
Ge1 0.5000 0.5000 0.0000 [1 per cell]

Values from the calculation:
Energy above the lowest structure with this stoichiometry   0.0000 eV per atom
M_tot   0.02 μB per formula unit
ΔE_f   -302 meV per atom

# 3
The following is a PBE calculation of crystalline Pm2LuGe at its relaxed geometry, from Alexandria via LeMat-Bulk.

a b c (Å): 4.1027 4.1027 6.5229
angles (deg): 90.00 90.00 90.00
Space group P4/mmm (No. 123)
One atom of each set of equivalent atoms:
Pm1 0.0000 0.0000 0.2253 [2 per cell]
Lu1 0.5000 0.5000 0.5000 [1 per cell]
Ge1 0.5000 0.5000 0.0000 [1 per cell]

Values from the calculation:
Energy above the lowest structure with this stoichiometry   0.0000 eV per atom
M_tot   0.00 μB per formula unit
ΔE_f   -329 meV per atom

# 4
The following is a PBE calculation of crystalline PmLuGePt at its relaxed geometry, from Alexandria via LeMat-Bulk.

a b c (Å): 7.1120 7.1120 7.1120
angles (deg): 90.00 90.00 90.00
Space group F-43m (No. 216)
One atom of each set of equivalent atoms:
Pm1 0.0000 0.0000 0.0000 [4 per cell]
Lu1 0.0000 0.0000 0.5000 [4 per cell]
Ge1 0.2500 0.2500 0.2500 [4 per cell]
Pt1 0.2500 0.2500 0.7500 [4 per cell]

Values from the calculation:
M_tot   0.00 μB per formula unit
ΔE_f   -898 meV per atom

# 5
The following is a PBE calculation of crystalline PmLuGeRu at its relaxed geometry, from Alexandria via LeMat-Bulk.

a b c (Å): 6.9970 6.9970 6.9970
angles (deg): 90.00 90.00 90.00
Space group F-43m (No. 216)
One atom of each set of equivalent atoms:
Pm1 0.0000 0.0000 0.0000 [4 per cell]
Lu1 0.0000 0.0000 0.5000 [4 per cell]
Ge1 0.2500 0.2500 0.7500 [4 per cell]
Ru1 0.2500 0.2500 0.2500 [4 per cell]

Values from the calculation:
M_tot   0.00 μB per formula unit
ΔE_f   -428 meV per atom

# 6
The following is a PBE calculation of crystalline PmLuTlGe at its relaxed geometry, from Alexandria via LeMat-Bulk.

a b c (Å): 7.4153 7.4153 7.4153
angles (deg): 90.00 90.00 90.00
Space group F-43m (No. 216)
One atom of each set of equivalent atoms:
Pm1 0.0000 0.0000 0.0000 [4 per cell]
Lu1 0.0000 0.0000 0.5000 [4 per cell]
Tl1 0.2500 0.2500 0.7500 [4 per cell]
Ge1 0.2500 0.2500 0.2500 [4 per cell]

Values from the calculation:
M_tot   0.00 μB per formula unit
ΔE_f   -398 meV per atom

# 7
The following is a PBE calculation of crystalline PrLuGe2 at its relaxed geometry, from Alexandria via LeMat-Bulk.

a b c (Å): 4.8027 4.8027 4.0746
angles (deg): 90.00 90.00 90.00
Space group P4/mmm (No. 123)
One atom of each set of equivalent atoms:
Pr1 0.0000 0.0000 0.0000 [1 per cell]
Lu1 0.5000 0.5000 0.0000 [1 per cell]
Ge1 0.0000 0.5000 0.5000 [2 per cell]

Values from the calculation:
M_tot   0.00 μB per formula unit
ΔE_f   -584 meV per atom

# 8
The following is a PBE calculation of crystalline PrLuGe at its relaxed geometry, from Alexandria via LeMat-Bulk.

a b c (Å): 6.9940 6.9940 6.9940
angles (deg): 90.00 90.00 90.00
Space group F-43m (No. 216)
One atom of each set of equivalent atoms:
Pr1 0.0000 0.0000 0.0000 [4 per cell]
Lu1 0.0000 0.0000 0.5000 [4 per cell]
Ge1 0.2500 0.2500 0.7500 [4 per cell]

Values from the calculation:
Energy above the lowest structure with this stoichiometry   0.0000 eV per atom
M_tot   0.00 μB per formula unit
ΔE_f   -486 meV per atom

Number 1: uncorrected energy -5.0615 eV per atom. Number 2: uncorrected energy -4.9048 eV per atom. Number 3: uncorrected energy -4.9886 eV per atom. Number 4: uncorrected energy -5.8801 eV per atom. Number 5: uncorrected energy -6.2193 eV per atom. Number 6: uncorrected energy -4.4614 eV per atom. Number 7: uncorrected energy -5.2182 eV per atom. Number 8: uncorrected energy -5.1252 eV per atom.